*P*
A plane-wave DFT calculation with PBE was carried out for a relaxed Zn2Br crystal.

abc: 8.942 8.942 4.137
angles: 90.00 90.00 153.23
Atoms (fractional coordinates):
Zn 0.053 0.947 0.750
Zn 0.460 0.540 0.750
Zn 0.540 0.460 0.250
Zn 0.947 0.053 0.250
Br 0.159 0.841 0.250
Br 0.841 0.159 0.750

***

*Q*
A plane-wave DFT calculation with PBE was carried out for a relaxed Zn2Br crystal.

abc: 4.343 4.343 4.523
angles: 90.00 90.00 120.00
Atoms (fractional coordinates):
Zn 0.333 0.667 0.500
Zn 0.667 0.333 0.500
Br 0.000 0.000 0.000

***

Comparing the structures above, *P* comes out on top by 15.1 kJ/mol of atoms.